BaLiSnTe3: relaxed, PBE.

Unit cell a=4.632 b=9.301 c=9.919 alpha=107.68 beta=90.00 gamma=90.00
Positions (direct):
Ba1 0.750 0.794 0.746
Ba2 0.250 0.206 0.254
Li1 0.250 0.092 0.595
Li2 0.750 0.908 0.405
Sn1 0.250 0.674 0.143
Sn2 0.750 0.326 0.857
Te1 0.250 0.777 0.470
Te2 0.750 0.894 0.121
Te3 0.750 0.458 0.177
Te4 0.750 0.223 0.530
Te5 0.250 0.542 0.823
Te6 0.250 0.106 0.879

Calculated values
- magnetic moment (Bohr magnetons per cell) = 0.0
- energy (eV per formula unit) = -22.515
- ΔE_f (raw) (meV/atom) = -875
- SG = P2_1/m, No. 11